Material: ScNiH3
Method: DFT, GGA-PBE
State: optimized geometry

Output
Its density of states at the Fermi level is 6.31 states/eV/cell. Its space-group type is P2_1/c, No. 14. As for the total energy: -4.8155 eV/atom.

Cell and atoms, written as POSCAR:
```
ScNiH3
1.0
5.877 0.000 0.000
0.000 4.978 0.000
-3.807 0.000 5.514
Sc Ni H
4 4 12
Cartesian
0.961 1.245 0.670 Sc
-0.943 1.244 3.427 Sc
3.013 3.734 2.087 Sc
1.110 3.734 4.844 Sc
-0.020 3.731 2.022 Ni
-1.924 3.737 4.779 Ni
3.994 1.241 0.735 Ni
2.091 1.248 3.492 Ni
-2.852 0.005 4.137 H
-0.948 2.484 1.380 H
1.030 3.734 0.713 H
-0.873 3.733 3.470 H
0.773 1.232 2.576 H
-1.131 1.257 5.333 H
3.201 3.721 0.181 H
1.298 3.746 2.938 H
2.944 1.245 2.044 H
1.041 1.244 4.801 H
3.019 2.494 4.134 H
4.922 4.973 1.377 H
```

=====

Material: ScNiH3
Method: DFT, GGA-PBE
State: optimized geometry

Output
Its density of states at the Fermi level is 4.68 states/eV/cell. Its space-group type is Cmc2_1, No. 36. As for the total energy: -4.8836 eV/atom.

Cell and atoms, written as POSCAR:
```
ScNiH3
1.0
1.792 -5.251 0.000
1.792 5.251 0.000
0.000 0.000 4.332
Sc Ni H
2 2 6
Cartesian
1.792 3.797 2.166 Sc
1.792 -3.797 0.000 Sc
1.792 0.818 2.244 Ni
1.792 -0.818 0.078 Ni
1.792 4.453 0.069 H
1.792 2.061 3.289 H
1.792 0.752 0.661 H
1.792 -0.752 2.828 H
1.792 -2.061 1.122 H
1.792 -4.453 2.235 H
```

=====

Material: ScNiH3
Method: DFT, GGA-PBE
State: optimized geometry

Output
Its density of states at the Fermi level is 0.86 states/eV/cell. Its space-group type is P2_1/m, No. 11. As for the total energy: -4.6775 eV/atom.

Cell and atoms, written as POSCAR:
```
ScNiH3
1.0
2.988 0.000 0.000
0.000 5.787 0.000
0.000 0.000 5.097
Sc Ni H
2 2 6
Cartesian
0.004 1.447 1.655 Sc
2.983 4.341 3.442 Sc
1.490 4.341 1.244 Ni
1.498 1.447 3.853 Ni
0.004 0.571 3.705 H
0.004 2.323 3.705 H
1.489 4.341 4.692 H
1.498 1.447 0.405 H
2.984 3.464 1.392 H
2.984 5.217 1.392 H
```